First-principles (PBE-GGA) data for crystalline ScOF3 at its relaxed geometry, as listed in Alexandria.

Space-group type ... Pm-3m, No. 221
ΔE to the lowest computed polymorph ... 45 meV/atom
Total magnetization ... 2.00 Bohr magnetons per cell
Crystal system ... cubic

Cell: 4.0867 4.0867 4.0867 Å, 90.00 90.00 90.00°
Closest atoms and distances in Å follow each position.
Element x y z (fractional)
1 Sc 0.0000 0.0000 0.0000  6 F 2.04
2 O 0.5000 0.5000 0.5000  12 F 2.89
3 F 0.0000 0.5000 0.0000  2 Sc 2.04
4 F 0.0000 0.0000 0.5000  2 Sc 2.04
5 F 0.5000 0.0000 0.0000  2 Sc 2.04

First-principles (PBE-GGA) data for crystalline PrPa2Zn6 at its relaxed geometry, as listed in Alexandria.

Space-group type ... P6/mmm, No. 191
Total magnetization ... 0.43 Bohr magnetons per cell
Crystal system ... hexagonal
Energy of formation from the pure elements ... -0.152 eV per atom

Cell: 3.2175 8.0305 8.0305 Å, 120.00 90.00 90.00°
Closest atoms and distances in Å follow each position.
Element x y z (fractional)
1 Pr 0.0000 0.0000 0.0000  12 Zn 3.15, 2 Pr 3.22
2 Pa 0.0000 0.3333 0.6667  12 Zn 3.11, 2 Pa 3.22
3 Pa 0.0000 0.6667 0.3333  12 Zn 3.11, 2 Pa 3.22
4 Zn 0.5000 0.3375 0.3375  3 Zn 2.61-2.71
5 Zn 0.5000 0.6625 0.6625  3 Zn 2.61-2.71
6 Zn 0.5000 0.0000 0.6625  3 Zn 2.61-2.71
7 Zn 0.5000 0.6625 0.0000  3 Zn 2.61-2.71
8 Zn 0.5000 0.3375 0.0000  3 Zn 2.61-2.71
9 Zn 0.5000 0.0000 0.3375  3 Zn 2.61-2.71

First-principles (PBE-GGA) data for crystalline Ni3GeS at its relaxed geometry, as listed in Alexandria.

Space-group type ... Pm-3m, No. 221
ΔE to the lowest computed polymorph ... 379 meV/atom
Total magnetization ... 0.00 Bohr magnetons per cell
Crystal system ... cubic

Cell: 4.1814 4.1814 4.1814 Å, 90.00 90.00 90.00°
Closest atoms and distances in Å follow each position.
Element x y z (fractional)
1 Ni 0.0000 0.5000 0.0000  2 S 2.09
2 Ni 0.0000 0.0000 0.5000  2 S 2.09
3 Ni 0.5000 0.0000 0.0000  2 S 2.09
4 Ge 0.5000 0.5000 0.5000  12 Ni 2.96
5 S 0.0000 0.0000 0.0000  6 Ni 2.09

First-principles (PBE-GGA) data for crystalline Co2TeI8 at its relaxed geometry, as listed in Alexandria.

Calculated total energy ... -2.73 eV per atom
Space-group type ... C2/m, No. 12
Total magnetization ... 6.00 Bohr magnetons per cell
Crystal system ... monoclinic

Cell: 7.1120 8.5884 8.5884 Å, 76.47 84.56 84.56°
Closest atoms and distances in Å follow each position.
Element x y z (fractional)
1 Co 0.3618 0.1925 0.1925  4 I 2.48-2.60
2 Co 0.6382 0.8075 0.8075  4 I 2.48-2.60
3 Te 0.0000 0.0000 0.0000  6 I 2.99-3.08
4 I 0.7666 0.0913 0.7165  1 Co 2.60
5 I 0.2334 0.2835 0.9087  1 Co 2.60
6 I 0.7205 0.1933 0.1933  1 Co 2.55
7 I 0.2795 0.8067 0.8067  1 Co 2.55
8 I 0.7666 0.7165 0.0913  1 Co 2.60
9 I 0.2334 0.9087 0.2835  1 Co 2.60
10 I 0.2485 0.3738 0.3738  1 Co 2.48
11 I 0.7515 0.6262 0.6262  1 Co 2.48

First-principles (PBE-GGA) data for crystalline YSiNi at its relaxed geometry, as listed in Alexandria.

Calculated total energy ... -6.71 eV per atom
Space-group type ... Pnma, No. 62
Total magnetization ... 0.00 Bohr magnetons per cell
Crystal system ... orthorhombic

Cell: 4.1669 6.8884 7.1797 Å, 90.00 90.00 90.00°
Closest atoms and distances in Å follow each position.
Element x y z (fractional)
1 Ni 0.2500 0.1869 0.9180  4 Si 2.41-2.61
2 Ni 0.7500 0.3131 0.4180  4 Si 2.41-2.61
3 Ni 0.7500 0.8131 0.0820  4 Si 2.41-2.61
4 Ni 0.2500 0.6869 0.5820  4 Si 2.41-2.61
5 Si 0.2500 0.3088 0.5878  4 Ni 2.41-2.61
6 Si 0.7500 0.1912 0.0878  4 Ni 2.41-2.61
7 Si 0.7500 0.6912 0.4122  4 Ni 2.41-2.61
8 Si 0.2500 0.8088 0.9122  4 Ni 2.41-2.61
9 Y 0.2500 0.9914 0.2987  6 Ni 2.88-3.16, 6 Si 2.92-3.05
10 Y 0.7500 0.5086 0.7987  6 Ni 2.88-3.16, 6 Si 2.92-3.05
11 Y 0.7500 0.0086 0.7013  6 Ni 2.88-3.16, 6 Si 2.92-3.05
12 Y 0.2500 0.4914 0.2013  6 Ni 2.88-3.16, 6 Si 2.92-3.05

First-principles (PBE-GGA) data for crystalline LiCaTa at its relaxed geometry, as listed in Alexandria.

Space-group type ... C2/m, No. 12
ΔE to the lowest computed polymorph ... 219 meV/atom
Total magnetization ... 0.00 Bohr magnetons per cell
Crystal system ... monoclinic
Energy of formation from the pure elements ... 0.463 eV per atom

Cell: 12.2852 6.0728 6.0728 Å, 148.08 139.67 40.33°
Closest atoms and distances in Å follow each position.
Element x y z (fractional)
1 Ca 0.2696 0.7336 0.2663  5 Li 3.32-3.58, 5 Ta 3.32-3.37, 3 Ca 3.34-3.58
2 Ca 0.7304 0.2663 0.7336  5 Li 3.32-3.58, 5 Ta 3.32-3.37, 3 Ca 3.34-3.58
3 Li 0.0880 0.6019 0.3981  2 Li 2.75, 2 Ta 3.01
4 Li 0.9120 0.3981 0.6019  2 Li 2.75, 2 Ta 3.01
5 Ta 0.4121 0.8862 0.1138  2 Ta 2.58
6 Ta 0.5879 0.1138 0.8862  2 Ta 2.58

First-principles (PBE-GGA) data for crystalline KAgTe2 at its relaxed geometry, as listed in Alexandria.

Calculated total energy ... -2.65 eV per atom
Space-group type ... R-3m, No. 166
Total magnetization ... 0.00 Bohr magnetons per cell
Crystal system ... trigonal

Cell: 10.7988 10.7988 10.7988 Å, 20.45 20.45 20.45°
Closest atoms and distances in Å follow each position.
Element x y z (fractional)
1 K 0.5000 0.5000 0.5000  6 Te 3.46, 6 K 3.83
2 Te 0.9170 0.9170 0.9170  1 Ag 2.63
3 Te 0.0830 0.0830 0.0830  1 Ag 2.63
4 Ag 0.0000 0.0000 0.0000  2 Te 2.63

First-principles (PBE-GGA) data for crystalline Mn2AlHOs at its relaxed geometry, as listed in Alexandria.

Space-group type ... P4/mmm, No. 123
ΔE to the lowest computed polymorph ... 0 meV/atom
Total magnetization ... 5.05 Bohr magnetons per cell
Crystal system ... tetragonal

Cell: 3.7597 3.7597 3.9015 Å, 90.00 90.00 90.00°
Closest atoms and distances in Å follow each position.
Element x y z (fractional)
1 H 0.0000 0.0000 0.0000  4 Mn 1.88, 2 Os 1.95
2 Mn 0.0000 0.5000 0.0000  2 H 1.88
3 Mn 0.5000 0.0000 0.0000  2 H 1.88
4 Os 0.0000 0.0000 0.5000  2 H 1.95
5 Al 0.5000 0.5000 0.5000  4 Os 2.66, 8 Mn 2.71

| no. | volume (Å³/atom) |
| --- | --- |
| 1 | 13.65 |
| 2 | 19.97 |
| 3 | 14.62 |
| 4 | 46.03 |
| 5 | 17.17 |
| 6 | 24.33 |
| 7 | 33.63 |
| 8 | 11.03 |